<A>
A plane-wave DFT calculation with GGA-PBE was carried out for an optimized crystal structure of B5C7.

## Properties
SG = Pm, No. 6

Unit cell a=3.9608 b=2.6282 c=7.8419 alpha=90.00 beta=91.95 gamma=90.00
Closest atoms and distances in Å follow each position.
Fractional coordinates of all 12 atoms:
B  0.0000  0.0000  0.0000  3 C 1.58-1.59
B  0.0131  0.0000  0.2829  3 C 1.57-1.58
B  0.0544  0.0000  0.6591  3 C 1.51-1.61
B  0.3867  0.0000  0.5031  2 C 1.58
B  0.5593  0.5000  0.1390  4 C 1.64-1.70
C  0.2897  0.0000  0.1447  4 B 1.57-1.69
C  0.3704  0.0000  0.7734  1 B 1.51, 2 C 1.56
C  0.5750  0.5000  0.8024  4 C 1.52-1.61
C  0.6014  0.5000  0.4757  2 C 1.49-1.54, 2 B 1.58
C  0.7860  0.5000  0.9672  1 C 1.52, 3 B 1.58-1.64
C  0.8066  0.5000  0.3197  1 C 1.49, 2 B 1.58
C  0.8188  0.5000  0.6423  2 C 1.54-1.61, 2 B 1.61

<B>
A plane-wave DFT calculation with GGA-PBE was carried out for an optimized crystal structure of B5C7.

## Properties
SG = P-4m2, No. 115

Unit cell a=2.4821 b=2.4821 c=12.7174 alpha=90.00 beta=90.00 gamma=90.00
Closest atoms and distances in Å follow each position.
Fractional coordinates of all 12 atoms:
B  0.0000  0.0000  0.0000  4 B 1.80
B  0.0000  0.5000  0.8975  4 B 1.80-1.83
B  0.5000  0.0000  0.1025  4 B 1.80-1.83
B  0.5000  0.5000  0.2086  2 C 1.61
B  0.5000  0.5000  0.7914  2 C 1.61
C  0.0000  0.0000  0.3578  4 C 1.52-1.54
C  0.0000  0.0000  0.6422  4 C 1.52-1.54
C  0.0000  0.5000  0.2888  2 C 1.52, 2 B 1.61
C  0.0000  0.5000  0.5703  4 C 1.53-1.54
C  0.5000  0.0000  0.4297  4 C 1.53-1.54
C  0.5000  0.0000  0.7112  2 C 1.52, 2 B 1.61
C  0.5000  0.5000  0.5000  4 C 1.53

Stability verdict: <B>, ahead by 23 meV per atom

<A>
A plane-wave DFT calculation with GGA-PBE was carried out for an optimized crystal structure of LiCrCl2.

## Properties
SG = F-43m, No. 216

Unit cell a=4.8109 b=4.8109 c=4.8109 alpha=60.00 beta=60.00 gamma=60.00
Closest atoms and distances in Å follow each position.
Fractional coordinates of all 4 atoms:
Li  0.0000  0.0000  0.0000  4 Cr 2.95, 4 Cl 2.95
Cr  0.7500  0.7500  0.7500  4 Li 2.95, 4 Cl 2.95
Cl  0.2500  0.2500  0.2500  4 Cl 2.95, 4 Li 2.95
Cl  0.5000  0.5000  0.5000  4 Cr 2.95, 4 Cl 2.95

<B>
A plane-wave DFT calculation with GGA-PBE was carried out for an optimized crystal structure of LiCrCl2.

## Properties
SG = Immm, No. 71

Unit cell a=5.3210 b=5.3210 c=5.3210 alpha=140.10 beta=96.99 gamma=96.38
Closest atoms and distances in Å follow each position.
Fractional coordinates of all 4 atoms:
Li  0.0000  0.0000  0.0000  4 Cl 2.50
Cr  0.5000  0.0000  0.5000  4 Cl 2.57
Cl  0.2430  0.5000  0.7430  2 Li 2.50, 2 Cr 2.57
Cl  0.7570  0.5000  0.2570  2 Li 2.50, 2 Cr 2.57

Stability verdict: <B>, ahead by 605 meV per atom

<A>
A plane-wave DFT calculation with GGA-PBE was carried out for an optimized crystal structure of LaW.

## Properties
SG = P4_2/mnm, No. 136

Unit cell a=6.2046 b=6.2046 c=5.9962 alpha=90.00 beta=90.00 gamma=90.00
Closest atoms and distances in Å follow each position.
Fractional coordinates of all 8 atoms:
La  0.1873  0.1873  0.0000  4 W 2.99-3.03, 1 La 3.29
La  0.3127  0.6873  0.5000  4 W 2.99-3.03, 1 La 3.29
La  0.6873  0.3127  0.5000  4 W 2.99-3.03, 1 La 3.29
La  0.8127  0.8127  0.0000  4 W 2.99-3.03, 1 La 3.29
W  0.1343  0.1343  0.5000  1 W 2.36
W  0.3657  0.6343  0.0000  1 W 2.36
W  0.6343  0.3657  0.0000  1 W 2.36
W  0.8657  0.8657  0.5000  1 W 2.36

<B>
A plane-wave DFT calculation with GGA-PBE was carried out for an optimized crystal structure of LaW.

## Properties
SG = I-43m, No. 217

Unit cell a=7.5711 b=7.5711 c=7.5711 alpha=109.47 beta=109.47 gamma=109.47
Closest atoms and distances in Å follow each position.
Fractional coordinates of all 8 atoms:
La  0.0000  0.0000  0.5556  1 W 2.62
La  0.0000  0.5556  0.0000  1 W 2.62
La  0.4444  0.4444  0.4444  1 W 2.62
La  0.5556  0.0000  0.0000  1 W 2.62
W  0.0000  0.0000  0.2089  3 W 2.58, 1 La 2.62
W  0.0000  0.2089  0.0000  3 W 2.58, 1 La 2.62
W  0.2089  0.0000  0.0000  3 W 2.58, 1 La 2.62
W  0.7911  0.7911  0.7911  3 W 2.58, 1 La 2.62

Stability verdict: <A>, ahead by 231 meV per atom

<A>
A plane-wave DFT calculation with GGA-PBE was carried out for an optimized crystal structure of Ag3Cl.

## Properties
SG = Pmm2, No. 25

Unit cell a=3.4437 b=4.1985 c=5.7298 alpha=90.00 beta=90.00 gamma=90.00
Closest atoms and distances in Å follow each position.
Fractional coordinates of all 4 atoms:
Ag  0.0000  0.0000  0.0000  4 Ag 2.77-2.96, 4 Cl 3.00
Ag  0.0000  0.5000  0.3160  6 Ag 2.77-2.78
Ag  0.5000  0.0000  0.4203  6 Ag 2.78-2.96, 2 Cl 2.92
Cl  0.5000  0.5000  0.7756  8 Ag 2.92-3.15

<B>
A plane-wave DFT calculation with GGA-PBE was carried out for an optimized crystal structure of Ag3Cl.

## Properties
SG = P-6m2, No. 187

Unit cell a=3.2274 b=3.2274 c=8.5401 alpha=90.00 beta=90.00 gamma=120.00
Closest atoms and distances in Å follow each position.
Fractional coordinates of all 4 atoms:
Ag  0.0000  0.0000  0.0000  6 Ag 2.88
Ag  0.3333  0.6667  0.2567  3 Cl 2.79, 3 Ag 2.88
Ag  0.3333  0.6667  0.7433  3 Cl 2.79, 3 Ag 2.88
Cl  0.0000  0.0000  0.5000  6 Ag 2.79

Stability verdict: <B>, ahead by 42 meV per atom